Record 1
This record from Alexandria via LeMat-Bulk describes an optimized crystal structure of KLiHg2. The functional is PBE-GGA.

Output
SG: No. 216
Calculated formation energy in meV/atom: -122
Fermi-level density of states in states/eV per cell: 2.858

Unit cell a=5.399 b=5.399 c=5.399 alpha=60.00 beta=60.00 gamma=60.00
Positions (direct):
Hg: 0.000 0.000 0.000
Hg: 0.250 0.250 0.250
K: 0.500 0.500 0.500
Li: 0.750 0.750 0.750

Record 2
This record from Alexandria via LeMat-Bulk describes an optimized crystal structure of LiTlCuIr2. The functional is PBE-GGA.

Output
SG: No. 123
Calculated formation energy in meV/atom: 999
Fermi-level density of states in states/eV per cell: 4.523

Unit cell a=4.244 b=4.455 c=4.244 alpha=90.00 beta=90.00 gamma=90.00
Site moments in Bohr magnetons follow the coordinates.
Positions (direct):
Tl: 0.000 0.500 0.000  0.00
Ir: 0.000 0.000 0.500  0.26
Ir: 0.500 0.000 0.000  0.28
Cu: 0.500 0.500 0.500  0.05
Li: 0.000 0.000 0.000  -0.01

Record 3
This record from Alexandria via LeMat-Bulk describes an optimized crystal structure of Ba4InW. The functional is PBE-GGA.

Output
SG: No. 216
Calculated formation energy in meV/atom: 1153
Fermi-level density of states in states/eV per cell: 5.119

Unit cell a=7.078 b=7.078 c=7.078 alpha=60.00 beta=60.00 gamma=60.00
Site moments in Bohr magnetons follow the coordinates.
Positions (direct):
Ba: 0.875 0.375 0.375  -0.09
Ba: 0.375 0.375 0.875  -0.09
Ba: 0.375 0.875 0.375  -0.09
Ba: 0.375 0.375 0.375  -0.09
In: 0.750 0.750 0.750  -0.08
W: 0.000 0.000 0.000  2.92

Record 4
This record from Alexandria via LeMat-Bulk describes an optimized crystal structure of RbCo2Pt. The functional is PBE-GGA.

Output
SG: No. 225
Calculated formation energy in meV/atom: 1154
Fermi-level density of states in states/eV per cell: 10.354

Unit cell a=4.618 b=4.618 c=4.618 alpha=60.00 beta=60.00 gamma=60.00
Site moments in Bohr magnetons follow the coordinates.
Positions (direct):
Co: 0.250 0.250 0.250  1.80
Co: 0.750 0.750 0.750  1.80
Rb: 0.000 0.000 0.000  -0.01
Pt: 0.500 0.500 0.500  0.31

Record 5
This record from Alexandria via LeMat-Bulk describes an optimized crystal structure of LaSc2Ga4. The functional is PBE-GGA.

Output
SG: No. 71
Calculated formation energy in meV/atom: -610
Fermi-level density of states in states/eV per cell: 4.671

Unit cell a=4.122 b=4.190 c=9.370 alpha=102.92 beta=102.71 gamma=90.00
Positions (direct):
La: 0.500 0.000 0.000
Sc: 0.814 0.814 0.627
Sc: 0.186 0.186 0.373
Ga: 0.655 0.655 0.310
Ga: 0.345 0.345 0.690
Ga: 0.072 0.572 0.145
Ga: 0.928 0.428 0.855

Record 6
This record from Alexandria via LeMat-Bulk describes an optimized crystal structure of Mg5CuHg2Rh2. The functional is PBE-GGA.

Output
SG: No. 127
Calculated formation energy in meV/atom: -199
Fermi-level density of states in states/eV per cell: 6.314

Unit cell a=3.777 b=9.982 c=9.982 alpha=90.00 beta=90.00 gamma=90.00
Positions (direct):
Mg: 0.500 0.197 0.080
Mg: 0.500 0.803 0.920
Mg: 0.500 0.080 0.803
Mg: 0.500 0.697 0.420
Mg: 0.500 0.920 0.197
Mg: 0.500 0.303 0.580
Mg: 0.500 0.580 0.697
Mg: 0.500 0.420 0.303
Mg: 0.500 0.500 0.000
Mg: 0.500 0.000 0.500
Cu: 0.000 0.000 0.000
Cu: 0.000 0.500 0.500
Hg: 0.000 0.671 0.171
Hg: 0.000 0.329 0.829
Hg: 0.000 0.171 0.329
Hg: 0.000 0.829 0.671
Rh: 0.000 0.124 0.624
Rh: 0.000 0.876 0.376
Rh: 0.000 0.624 0.876
Rh: 0.000 0.376 0.124

Record 7
This record from Alexandria via LeMat-Bulk describes an optimized crystal structure of In2MoPt. The functional is PBE-GGA.

Output
SG: No. 166
Calculated formation energy in meV/atom: 115
Fermi-level density of states in states/eV per cell: 1.767

Unit cell a=9.352 b=9.352 c=9.352 alpha=18.75 beta=18.75 gamma=18.75
Positions (direct):
In: 0.002 0.002 0.002
In: 0.498 0.498 0.498
Mo: 0.250 0.250 0.250
Pt: 0.750 0.750 0.750

Record 8
This record from Alexandria via LeMat-Bulk describes an optimized crystal structure of BaAcN. The functional is PBE-GGA.

Output
SG: No. 107
Fermi-level density of states in states/eV per cell: 2.551
Formation energy without anion corrections in meV/atom: -248

Unit cell a=3.583 b=3.583 c=7.641 alpha=103.56 beta=103.56 gamma=90.00
Positions (direct):
Ac: 0.263 0.263 0.527
Ba: 0.025 0.025 0.050
N: 0.712 0.712 0.423

Record 9
This record from Alexandria via LeMat-Bulk describes an optimized crystal structure of Sm8Te3C3N. The functional is PBE-GGA.

Output
SG: No. 166
Fermi-level density of states in states/eV per cell: 7.220
Formation energy without anion corrections in meV/atom: -814

Unit cell a=7.689 b=7.691 c=8.491 alpha=116.94 beta=90.00 gamma=120.00
Site moments in Bohr magnetons follow the coordinates.
Positions (direct):
Sm: 0.270 0.540 0.310  0.01
Sm: 0.730 0.460 0.690  0.01
Sm: 0.771 0.543 0.313  0.08
Sm: 0.229 0.457 0.687  0.08
Sm: 0.771 0.042 0.314  0.08
Sm: 0.229 0.958 0.686  0.08
Sm: 0.271 0.042 0.314  0.08
Sm: 0.729 0.958 0.686  0.08
Te: 0.000 0.000 0.000  0.01
Te: 0.000 0.500 0.000  0.01
Te: 0.500 0.500 0.000  0.01
C: 0.500 0.000 0.500  -0.01
C: 0.500 0.500 0.500  -0.01
C: 0.000 0.500 0.500  -0.01
N: 0.000 0.000 0.500  -0.01

Record 10
This record from Alexandria via LeMat-Bulk describes an optimized crystal structure of Hf2MnVBr. The functional is PBE-GGA.

Output
SG: No. 123
Fermi-level density of states in states/eV per cell: 5.309
Formation energy without anion corrections in meV/atom: 509

Unit cell a=5.037 b=5.037 c=4.099 alpha=90.00 beta=90.00 gamma=90.00
Positions (direct):
Mn: 0.000 0.000 0.000
Hf: 0.000 0.500 0.000
Hf: 0.500 0.000 0.000
Br: 0.500 0.500 0.500
V: 0.000 0.000 0.500

Record 11
This record from Alexandria via LeMat-Bulk describes an optimized crystal structure of Ac4In2Ir. The functional is PBE-GGA.

Output
SG: No. 12
Calculated formation energy in meV/atom: -461
Fermi-level density of states in states/eV per cell: 8.353

Unit cell a=4.821 b=6.948 c=8.485 alpha=74.62 beta=73.50 gamma=69.70
Positions (direct):
Ac: 0.080 0.195 0.646
Ac: 0.920 0.805 0.354
Ac: 0.334 0.266 0.066
Ac: 0.666 0.734 0.934
Ir: 0.000 0.000 0.000
In: 0.368 0.609 0.656
In: 0.632 0.391 0.344

Record 12
This record from Alexandria via LeMat-Bulk describes an optimized crystal structure of TiReAs2Cl. The functional is PBE-GGA.

Output
SG: No. 123
Fermi-level density of states in states/eV per cell: 4.765
Formation energy without anion corrections in meV/atom: 1340

Unit cell a=4.811 b=4.811 c=4.259 alpha=90.00 beta=90.00 gamma=90.00
Site moments in Bohr magnetons follow the coordinates.
Positions (direct):
Re: 0.500 0.500 0.500  2.04
As: 0.000 0.500 0.000  -0.05
As: 0.500 0.000 0.000  -0.05
Cl: 0.000 0.000 0.000  -0.01
Ti: 0.000 0.000 0.500  -0.13

Record 13
This record from Alexandria via LeMat-Bulk describes an optimized crystal structure of LaPbBr4. The functional is PBE-GGA.

Output
SG: No. 216
Fermi-level density of states in states/eV per cell: 6.909
Formation energy without anion corrections in meV/atom: -257

Unit cell a=6.363 b=6.363 c=6.363 alpha=60.00 beta=60.00 gamma=60.00
Site moments in Bohr magnetons follow the coordinates.
Positions (direct):
La: 0.750 0.750 0.750  0.28
Pb: 0.000 0.000 0.000  0.29
Br: 0.874 0.375 0.375  -0.10
Br: 0.375 0.375 0.874  -0.10
Br: 0.375 0.874 0.375  -0.10
Br: 0.375 0.375 0.375  -0.10

Record 14
This record from Alexandria via LeMat-Bulk describes an optimized crystal structure of Cs2NaCuP. The functional is PBE-GGA.

Output
SG: No. 123
Calculated formation energy in meV/atom: -29
Fermi-level density of states in states/eV per cell: 2.966

Unit cell a=7.283 b=7.283 c=4.287 alpha=90.00 beta=90.00 gamma=90.00
Positions (direct):
Cs: 0.000 0.500 0.000
Cs: 0.500 0.000 0.000
P: 0.000 0.000 0.000
Cu: 0.000 0.000 0.500
Na: 0.500 0.500 0.500

Record 15
This record from Alexandria via LeMat-Bulk describes an optimized crystal structure of Nd3EuTc. The functional is PBE-GGA.

Output
SG: No. 221
Calculated formation energy in meV/atom: 113
Fermi-level density of states in states/eV per cell: 3.729

Unit cell a=5.592 b=5.592 c=5.592 alpha=90.00 beta=90.00 gamma=90.00
Site moments in Bohr magnetons follow the coordinates.
Positions (direct):
Eu: 0.500 0.500 0.500  6.88
Nd: 0.000 0.500 0.000  0.02
Nd: 0.000 0.000 0.500  0.02
Nd: 0.500 0.000 0.000  0.02
Tc: 0.000 0.000 0.000  -0.09

Record 16
This record from Alexandria via LeMat-Bulk describes an optimized crystal structure of BaScPb2. The functional is PBE-GGA.

Output
SG: No. 119
Calculated formation energy in meV/atom: -159
Fermi-level density of states in states/eV per cell: 4.026

Unit cell a=6.513 b=6.513 c=6.513 alpha=136.72 beta=136.72 gamma=62.87
Positions (direct):
Ba: 0.750 0.250 0.500
Pb: 0.000 0.000 0.000
Pb: 0.250 0.750 0.500
Sc: 0.500 0.500 0.000

Record 17
This record from Alexandria via LeMat-Bulk describes an optimized crystal structure of Zr2ScTe. The functional is PBE-GGA.

Output
SG: No. 47
Fermi-level density of states in states/eV per cell: 4.169
Formation energy without anion corrections in meV/atom: -379

Unit cell a=4.106 b=4.446 c=4.835 alpha=90.00 beta=90.00 gamma=90.00
Positions (direct):
Sc: 0.500 0.000 0.500
Te: 0.000 0.500 0.500
Zr: 0.000 0.000 0.000
Zr: 0.500 0.500 0.000

Record 18
This record from Alexandria via LeMat-Bulk describes an optimized crystal structure of Te2As. The functional is PBE-GGA.

Output
SG: No. 12
Fermi-level density of states in states/eV per cell: 2.719
Formation energy without anion corrections in meV/atom: 40

Unit cell a=4.024 b=6.023 c=7.943 alpha=100.87 beta=104.67 gamma=90.00
Positions (direct):
Te: 0.462 0.771 0.924
Te: 0.181 0.702 0.363
Te: 0.538 0.229 0.076
Te: 0.819 0.298 0.637
As: 0.817 0.759 0.635
As: 0.183 0.241 0.365